Entry 1:
A geometry-optimized In4Sb5 structure. Source: Alexandria via LeMat-Bulk, functional PBE.

Geometry as POSCAR:
```
In4Sb5
1.0
9.4666 0.0000 0.0000
-4.7333 8.1984 0.0000
0.0000 0.0000 6.4002
In Sb
8 10
Direct
0.0000 0.0000 0.0000
0.0000 0.0000 0.5000
0.0000 0.3187 0.2500
0.0000 0.6813 0.7500
0.3187 0.0000 0.2500
0.3187 0.3187 0.7500
0.6813 0.0000 0.7500
0.6813 0.6813 0.2500
0.0000 0.3550 0.7500
0.0000 0.6450 0.2500
0.3333 0.6667 0.0000
0.3333 0.6667 0.5000
0.3550 0.0000 0.7500
0.3550 0.3550 0.2500
0.6450 0.0000 0.2500
0.6450 0.6450 0.7500
0.6667 0.3333 0.0000
0.6667 0.3333 0.5000
```

size of the total moment: 0.000 μB per formula unit
uncorrected formation energy: 118.6 meV/atom

=====

Entry 2:
A geometry-optimized InSb structure. Source: Alexandria via LeMat-Bulk, functional PBE.

Geometry as POSCAR:
```
InSb
1.0
4.5902 0.0000 0.0000
-2.2951 3.9752 0.0000
0.0000 0.0000 6.7320
In Sb
2 2
Direct
0.3333 0.6667 0.2500
0.6667 0.3333 0.7500
0.0000 0.0000 0.0000
0.0000 0.0000 0.5000
```

size of the total moment: 0.000 μB per formula unit
uncorrected formation energy: 45.2 meV/atom

=====

- The lowest uncorrected formation energy belongs to which entry?
  InSb

=====

Please write out number 1 again, unchanged.
A geometry-optimized In4Sb5 structure. Source: Alexandria via LeMat-Bulk, functional PBE.

Geometry as POSCAR:
```
In4Sb5
1.0
9.4666 0.0000 0.0000
-4.7333 8.1984 0.0000
0.0000 0.0000 6.4002
In Sb
8 10
Direct
0.0000 0.0000 0.0000
0.0000 0.0000 0.5000
0.0000 0.3187 0.2500
0.0000 0.6813 0.7500
0.3187 0.0000 0.2500
0.3187 0.3187 0.7500
0.6813 0.0000 0.7500
0.6813 0.6813 0.2500
0.0000 0.3550 0.7500
0.0000 0.6450 0.2500
0.3333 0.6667 0.0000
0.3333 0.6667 0.5000
0.3550 0.0000 0.7500
0.3550 0.3550 0.2500
0.6450 0.0000 0.2500
0.6450 0.6450 0.7500
0.6667 0.3333 0.0000
0.6667 0.3333 0.5000
```

size of the total moment: 0.000 μB per formula unit
uncorrected formation energy: 118.6 meV/atom

=====

What did the second record say?
A geometry-optimized InSb structure. Source: Alexandria via LeMat-Bulk, functional PBE.

Geometry as POSCAR:
```
InSb
1.0
4.5902 0.0000 0.0000
-2.2951 3.9752 0.0000
0.0000 0.0000 6.7320
In Sb
2 2
Direct
0.3333 0.6667 0.2500
0.6667 0.3333 0.7500
0.0000 0.0000 0.0000
0.0000 0.0000 0.5000
```

size of the total moment: 0.000 μB per formula unit
uncorrected formation energy: 45.2 meV/atom